(1)
CsHg2As | PBE | optimized geometry

Properties
SG: P2_1/c (14)
Energy of formation in eV per atom: -0.123
DOS(E_F) in states/eV/cell: 1.385

Unit cell a=8.713 b=6.145 c=15.282 alpha=90.00 beta=124.29 gamma=90.00
Fractional coordinates of all 16 atoms:
Cs  0.249  0.250  0.250
Cs  0.249  0.250  0.750
Cs  0.751  0.750  0.250
Cs  0.751  0.750  0.750
Hg  0.034  0.726  0.034
Hg  0.034  0.774  0.534
Hg  0.466  0.726  0.966
Hg  0.466  0.774  0.466
Hg  0.534  0.226  0.534
Hg  0.534  0.274  0.034
Hg  0.966  0.226  0.466
Hg  0.966  0.274  0.966
As  0.249  0.000  0.999
As  0.249  0.500  0.499
As  0.751  0.000  0.001
As  0.751  0.500  0.501

(2)
Mn2SiMo | PBE | optimized geometry

Properties
Formation energy (no corrections) in eV/atom: 0.097
SG: R-3m (166)
DOS(E_F) in states/eV/cell: 10.293

Unit cell a=2.684 b=2.684 c=24.218 alpha=90.00 beta=90.00 gamma=120.00
Fractional coordinates of all 12 atoms:
Mn  0.000  0.000  0.245
Mn  0.000  0.000  0.755
Mn  0.333  0.667  0.422
Mn  0.333  0.667  0.912
Mn  0.667  0.333  0.088
Mn  0.667  0.333  0.578
Si  0.000  0.000  0.500
Si  0.333  0.667  0.167
Si  0.667  0.333  0.833
Mo  0.000  0.000  0.000
Mo  0.333  0.667  0.667
Mo  0.667  0.333  0.333

(3)
MnCo2Rh | PBE | optimized geometry

Properties
SG: P4mm (99)
Energy of formation in eV per atom: 0.048
DOS(E_F) in states/eV/cell: 5.825

Unit cell a=2.894 b=2.894 c=6.031 alpha=90.00 beta=90.00 gamma=90.00
Fractional coordinates of all 4 atoms:
Mn  0.000  0.000  0.000
Co  0.000  0.000  0.536
Co  0.500  0.500  0.756
Rh  0.500  0.500  0.268

(4)
PmDy3Pd6 | PBE | optimized geometry

Properties
SG: P2_1/m (11)
Energy of formation in eV per atom: -0.846
DOS(E_F) in states/eV/cell: 9.561

Unit cell a=8.158 b=4.577 c=11.521 alpha=90.00 beta=103.10 gamma=90.00
Fractional coordinates of all 20 atoms:
Pm  0.096  0.250  0.405
Pm  0.904  0.750  0.595
Dy  0.190  0.250  0.994
Dy  0.362  0.750  0.815
Dy  0.483  0.750  0.376
Dy  0.517  0.250  0.624
Dy  0.638  0.250  0.185
Dy  0.810  0.750  0.006
Pd  0.043  0.750  0.849
Pd  0.145  0.750  0.183
Pd  0.154  0.250  0.707
Pd  0.276  0.750  0.561
Pd  0.334  0.250  0.246
Pd  0.438  0.750  0.081
Pd  0.562  0.250  0.919
Pd  0.666  0.750  0.754
Pd  0.724  0.250  0.439
Pd  0.846  0.750  0.293
Pd  0.855  0.250  0.817
Pd  0.957  0.250  0.151

(5)
Tm5Ag4Ir | PBE | optimized geometry

Properties
SG: P4/mmm (123)
Energy of formation in eV per atom: -0.464
DOS(E_F) in states/eV/cell: 6.977

Unit cell a=3.525 b=3.525 c=17.952 alpha=90.00 beta=90.00 gamma=90.00
Fractional coordinates of all 10 atoms:
Tm  0.000  0.000  0.000
Tm  0.000  0.000  0.205
Tm  0.000  0.000  0.412
Tm  0.000  0.000  0.588
Tm  0.000  0.000  0.795
Ag  0.500  0.500  0.102
Ag  0.500  0.500  0.305
Ag  0.500  0.500  0.695
Ag  0.500  0.500  0.898
Ir  0.500  0.500  0.500

(6)
GdPa2Ru | PBE | optimized geometry

Properties
SG: R-3m (166)
Energy of formation in eV per atom: -0.015
DOS(E_F) in states/eV/cell: 20.891

Unit cell a=3.647 b=3.647 c=27.048 alpha=90.00 beta=90.00 gamma=120.00
Fractional coordinates of all 12 atoms:
Gd  0.000  0.000  0.000
Gd  0.333  0.667  0.667
Gd  0.667  0.333  0.333
Pa  0.000  0.000  0.231
Pa  0.000  0.000  0.769
Pa  0.333  0.667  0.435
Pa  0.333  0.667  0.898
Pa  0.667  0.333  0.102
Pa  0.667  0.333  0.565
Ru  0.000  0.000  0.500
Ru  0.333  0.667  0.167
Ru  0.667  0.333  0.833

(7)
YPt3Au | PBE | optimized geometry

Properties
SG: Imma (74)
Energy of formation in eV per atom: -0.639
DOS(E_F) in states/eV/cell: 5.435

Unit cell a=6.648 b=6.648 c=6.648 alpha=132.21 beta=110.74 gamma=88.51
Fractional coordinates of all 10 atoms:
Y  0.265  0.015  0.250
Y  0.735  0.985  0.750
Pt  0.029  0.279  0.750
Pt  0.313  0.000  0.813
Pt  0.313  0.500  0.313
Pt  0.687  0.000  0.187
Pt  0.687  0.500  0.687
Pt  0.971  0.721  0.250
Au  0.000  0.500  0.500
Au  0.500  0.500  0.000

(8)
Ba2CdI2O2 | PBE | optimized geometry

Properties
Formation energy (no corrections) in eV/atom: -1.819
SG: I4/mmm (139)

Unit cell a=4.539 b=4.539 c=19.880 alpha=90.00 beta=90.00 gamma=90.00
Fractional coordinates of all 14 atoms:
Ba  0.000  0.000  0.088
Ba  0.000  0.000  0.912
Ba  0.500  0.500  0.412
Ba  0.500  0.500  0.588
Cd  0.000  0.000  0.500
Cd  0.500  0.500  0.000
I  0.000  0.000  0.330
I  0.000  0.000  0.670
I  0.500  0.500  0.170
I  0.500  0.500  0.830
O  0.000  0.500  0.000
O  0.000  0.500  0.500
O  0.500  0.000  0.000
O  0.500  0.000  0.500

The records above give, respectively, final energy values of -26.4 -102.6 -30.5 -116.3 -47.3 -127.2 -62.1 -61.0 eV for the cell shown.